# 1
Material: CdC2S
Method: DFT, GGA-PBE
State: relaxed

* density: 5.80 g/cm3
* formation energy without anion corrections: 5.10 eV/f.u.
* VASP energy: -4.598 eV per atom

Lattice parameters (Å, degrees): 4.937 4.937 7.917 90.00 90.00 90.00
Positions (direct):
Cd: 0.000 0.000 0.000
Cd: 0.000 0.500 0.250
Cd: 0.500 0.000 0.750
Cd: 0.500 0.500 0.500
C: 0.156 0.250 0.625
C: 0.250 0.656 0.875
C: 0.250 0.844 0.375
C: 0.344 0.250 0.125
C: 0.656 0.750 0.125
C: 0.750 0.156 0.375
C: 0.750 0.344 0.875
C: 0.844 0.750 0.625
S: 0.000 0.000 0.500
S: 0.000 0.500 0.750
S: 0.500 0.000 0.250
S: 0.500 0.500 0.000

---

# 2
Material: La6DyZn
Method: DFT, GGA-PBE
State: relaxed

* density: 6.55 g/cm3
* calculated formation energy: -48 meV/atom
* VASP energy: -4.478 eV per atom

Lattice parameters (Å, degrees): 6.814 11.677 6.850 90.00 99.31 90.00
Positions (direct):
La: 0.130 0.212 0.262
La: 0.130 0.788 0.262
La: 0.245 0.500 0.066
La: 0.255 0.000 0.934
La: 0.370 0.288 0.738
La: 0.370 0.712 0.738
La: 0.630 0.288 0.262
La: 0.630 0.712 0.262
La: 0.745 0.000 0.066
La: 0.755 0.500 0.934
La: 0.870 0.212 0.738
La: 0.870 0.788 0.738
Dy: 0.000 0.500 0.500
Dy: 0.500 0.000 0.500
Zn: 0.000 0.000 0.500
Zn: 0.500 0.500 0.500